# 1
Computed, not measured: an optimized crystal structure of CaInRe2Rh at the GGA-PBE level of DFT.

Output
The calculation puts the energy of formation from the pure elements at 1.8950 eV per atom. Its symmetry is P4/mmm. As for the density: 8.5 g cm⁻³.

a = 4.9997 Å, b = 4.9140 Å, c = 4.9997 Å
α = 90.00°, β = 90.00°, γ = 90.00°
With the nearest neighbours (Å) after each atom.
Sites, in units of the cell vectors:
In 0.0000 0.0000 0.0000  2 Rh 2.46, 4 Re 2.50
Re 0.5000 0.0000 0.0000  2 In 2.50
Re 0.0000 0.0000 0.5000  2 In 2.50
Ca 0.5000 0.5000 0.5000  8 Re 3.51, 4 Rh 3.54
Rh 0.0000 0.5000 0.0000  2 In 2.46

=====

# 2
Computed, not measured: an optimized crystal structure of CaInReS2 at the GGA-PBE level of DFT.

Output
As for the uncorrected formation energy: -31.2 kJ/mol of formula units. Its symmetry is P4/mmm. As for the density: 5.7 g cm⁻³.

a = 4.6199 Å, b = 5.5614 Å, c = 4.6199 Å
α = 90.00°, β = 90.00°, γ = 90.00°
With the nearest neighbours (Å) after each atom.
Sites, in units of the cell vectors:
In 0.0000 0.5000 0.0000  2 Re 2.78
Re 0.0000 0.0000 0.0000  4 S 2.31
S 0.5000 0.0000 0.0000  2 Re 2.31
Ca 0.5000 0.5000 0.5000  4 In 3.27, 8 S 3.62
S 0.0000 0.0000 0.5000  2 Re 2.31

=====

# 3
Computed, not measured: an optimized crystal structure of CaTa2InRe at the GGA-PBE level of DFT.

Output
The calculation puts the energy of formation from the pure elements at 1.0220 eV per atom. Its symmetry is P4/mmm. As for the density: 8.9 g cm⁻³.

a = 4.8753 Å, b = 5.5321 Å, c = 4.8753 Å
α = 90.00°, β = 90.00°, γ = 90.00°
With the nearest neighbours (Å) after each atom.
Sites, in units of the cell vectors:
Ca 0.0000 0.5000 0.0000  2 Re 2.77
Ta 0.5000 0.0000 0.0000  2 Re 2.44
Re 0.0000 0.0000 0.0000  4 Ta 2.44
Ta 0.0000 0.0000 0.5000  2 Re 2.44
In 0.5000 0.5000 0.5000  4 Ca 3.45, 8 Ta 3.69

=====

# 4
Computed, not measured: an optimized crystal structure of Ca2ZrInRe at the GGA-PBE level of DFT.

Output
The calculation puts the energy of formation from the pure elements at 1.0604 eV per atom. Its symmetry is P4/mmm. As for the density: 5.3 g cm⁻³.

a = 5.2766 Å, b = 5.2957 Å, c = 5.2766 Å
α = 90.00°, β = 90.00°, γ = 90.00°
With the nearest neighbours (Å) after each atom.
Sites, in units of the cell vectors:
In 0.0000 0.5000 0.0000  2 Re 2.65
Re 0.0000 0.0000 0.0000  4 Ca 2.64, 2 In 2.65
Zr 0.5000 0.5000 0.5000  4 In 3.73, 8 Ca 3.74
Ca 0.5000 0.0000 0.0000  2 Re 2.64
Ca 0.0000 0.0000 0.5000  2 Re 2.64

=====

# 5
Computed, not measured: an optimized crystal structure of Ca3InRh at the GGA-PBE level of DFT.

Output
The calculation puts the energy of formation from the pure elements at -0.2471 eV per atom. Its symmetry is Pm-3m. As for the density: 3.5 g cm⁻³. The energy above the most stable polymorph in this dataset comes out at 0.138 eV per atom.

a = 5.4513 Å, b = 5.4513 Å, c = 5.4513 Å
α = 90.00°, β = 90.00°, γ = 90.00°
With the nearest neighbours (Å) after each atom.
Sites, in units of the cell vectors:
Rh 0.0000 0.0000 0.0000  6 Ca 2.73
Ca 0.0000 0.0000 0.5000  2 Rh 2.73
In 0.5000 0.5000 0.5000  12 Ca 3.85
Ca 0.5000 0.0000 0.0000  2 Rh 2.73
Ca 0.0000 0.5000 0.0000  2 Rh 2.73

=====

# 6
Computed, not measured: an optimized crystal structure of CaInRh at the GGA-PBE level of DFT.

Output
The calculation puts the energy of formation from the pure elements at -0.3920 eV per atom. Its symmetry is F-43m. As for the density: 5.9 g cm⁻³.

a = 4.6817 Å, b = 4.6817 Å, c = 4.6817 Å
α = 60.00°, β = 60.00°, γ = 60.00°
With the nearest neighbours (Å) after each atom.
Sites, in units of the cell vectors:
Rh 0.7500 0.7500 0.7500  4 In 2.87, 4 Ca 2.87
Ca 0.0000 0.0000 0.0000  4 Rh 2.87
In 0.5000 0.5000 0.5000  4 Rh 2.87

=====

| no. | size of the total moment (μB per cell) |
| --- | --- |
| 1 | 4.677 |
| 2 | 0.000 |
| 3 | 0.000 |
| 4 | 0.001 |
| 5 | 0.000 |
| 6 | 0.000 |